# V2Ir3Rh3, optimized geometry, DFT PBE
# crystal system	orthorhombic
# formation enthalpy at 0 K	-0.43	eV per atom
# total magnetic moment	0.0	μB per formula unit
data_V2Ir3Rh3
_chemical_formula_sum 'V2 Ir3 Rh3'
_cell_length_a 3.821
_cell_length_b 3.839
_cell_length_c 7.625
_cell_angle_alpha 90.00
_cell_angle_beta 90.00
_cell_angle_gamma 90.00
_space_group_name_H-M_alt 'P m m m'
_space_group_IT_number 47
loop_
_space_group_symop_operation_xyz
'x,y,z'
'-x,-y,-z'
'-x,-y,z'
'x,y,-z'
'x,-y,-z'
'-x,y,z'
'-x,y,-z'
'x,-y,z'
loop_
_atom_site_label
_atom_site_type_symbol
_atom_site_fract_x
_atom_site_fract_y
_atom_site_fract_z
_atom_site_occupancy
V1 V 0.000 0.000 0.250 1
Ir1 Ir 0.000 0.500 0.000 1
Ir2 Ir 0.500 0.000 0.000 1
Ir3 Ir 0.500 0.000 0.500 1
Rh1 Rh 0.000 0.500 0.500 1
Rh2 Rh 0.500 0.500 0.250 1

---

# V2Ir8Rh, optimized geometry, DFT PBE
# crystal system	orthorhombic
# formation enthalpy at 0 K	-0.10	eV per atom
# total magnetic moment	0.0	μB per formula unit
data_V2Ir8Rh
_chemical_formula_sum 'V4 Ir16 Rh2'
_cell_length_a 4.055
_cell_length_b 6.527
_cell_length_c 12.215
_cell_angle_alpha 90.00
_cell_angle_beta 90.00
_cell_angle_gamma 90.00
_space_group_name_H-M_alt 'I m m m'
_space_group_IT_number 71
_space_group_name_Hall '-I 2 2'
loop_
_atom_site_label
_atom_site_type_symbol
_atom_site_fract_x
_atom_site_fract_y
_atom_site_fract_z
_atom_site_occupancy
V1 V 0.000 0.000 0.200 1
Ir1 Ir 0.000 0.203 0.000 1
Ir2 Ir 0.000 0.292 0.351 1
Ir3 Ir 0.000 0.500 0.158 1
Rh1 Rh 0.000 0.000 0.500 1

---

# V3Ir2Rh6, optimized geometry, DFT PBE
# crystal system	triclinic
# formation enthalpy at 0 K	-0.31	eV per atom
# total magnetic moment	0.0	μB per formula unit
data_V3Ir2Rh6
_chemical_formula_sum 'V3 Ir2 Rh6'
_cell_length_a 4.659
_cell_length_b 6.086
_cell_length_c 6.115
_cell_angle_alpha 107.80
_cell_angle_beta 98.90
_cell_angle_gamma 104.97
_space_group_name_H-M_alt 'P -1'
_space_group_IT_number 2
loop_
_space_group_symop_operation_xyz
'x,y,z'
'-x,-y,-z'
loop_
_atom_site_label
_atom_site_type_symbol
_atom_site_fract_x
_atom_site_fract_y
_atom_site_fract_z
_atom_site_occupancy
V1 V 0.000 0.000 0.000 1
V2 V 0.104 0.369 0.802 1
Ir1 Ir 0.264 0.080 0.443 1
Rh1 Rh 0.185 0.726 0.636 1
Rh2 Rh 0.341 0.442 0.252 1
Rh3 Rh 0.450 0.812 0.091 1

---

# V3Ir2Rh3, optimized geometry, DFT PBE
# crystal system	orthorhombic
# formation enthalpy at 0 K	-0.38	eV per atom
# total magnetic moment	1.1	μB per formula unit
data_V3Ir2Rh3
_chemical_formula_sum 'V6 Ir4 Rh6'
_cell_length_a 3.723
_cell_length_b 3.899
_cell_length_c 15.478
_cell_angle_alpha 90.00
_cell_angle_beta 90.00
_cell_angle_gamma 90.00
_space_group_name_H-M_alt 'I m m m'
_space_group_IT_number 71
_space_group_name_Hall '-I 2 2'
loop_
_atom_site_label
_atom_site_type_symbol
_atom_site_fract_x
_atom_site_fract_y
_atom_site_fract_z
_atom_site_occupancy
V1 V 0.000 0.000 0.000 1
V2 V 0.000 0.500 0.133 1
Ir1 Ir 0.000 0.000 0.253 1
Rh1 Rh 0.000 0.000 0.500 1
Rh2 Rh 0.000 0.500 0.379 1

---

# V2Ir3Rh3, optimized geometry, DFT PBE
# crystal system	orthorhombic
# formation enthalpy at 0 K	-0.43	eV per atom
# total magnetic moment	0.0	μB per formula unit
data_V2Ir3Rh3
_chemical_formula_sum 'V2 Ir3 Rh3'
_cell_length_a 3.815
_cell_length_b 3.821
_cell_length_c 7.675
_cell_angle_alpha 90.00
_cell_angle_beta 90.00
_cell_angle_gamma 90.00
_space_group_name_H-M_alt 'P m m m'
_space_group_IT_number 47
loop_
_space_group_symop_operation_xyz
'x,y,z'
'-x,-y,-z'
'-x,-y,z'
'x,y,-z'
'x,-y,-z'
'-x,y,z'
'-x,y,-z'
'x,-y,z'
loop_
_atom_site_label
_atom_site_type_symbol
_atom_site_fract_x
_atom_site_fract_y
_atom_site_fract_z
_atom_site_occupancy
V1 V 0.000 0.000 0.250 1
Ir1 Ir 0.500 0.000 0.000 1
Ir2 Ir 0.500 0.500 0.250 1
Rh1 Rh 0.000 0.500 0.000 1
Rh2 Rh 0.000 0.500 0.500 1
Rh3 Rh 0.500 0.000 0.500 1

---

# VIr3Rh4, optimized geometry, DFT PBE
# crystal system	orthorhombic
# formation enthalpy at 0 K	0.12	eV per atom
# total magnetic moment	0.0	μB per formula unit
data_VIr3Rh4
_chemical_formula_sum 'V2 Ir6 Rh8'
_cell_length_a 2.689
_cell_length_b 5.131
_cell_length_c 17.105
_cell_angle_alpha 90.00
_cell_angle_beta 90.00
_cell_angle_gamma 90.00
_space_group_name_H-M_alt 'I m m m'
_space_group_IT_number 71
_space_group_name_Hall '-I 2 2'
loop_
_atom_site_label
_atom_site_type_symbol
_atom_site_fract_x
_atom_site_fract_y
_atom_site_fract_z
_atom_site_occupancy
V1 V 0.000 0.000 0.000 1
Ir1 Ir 0.000 0.000 0.500 1
Ir2 Ir 0.000 0.500 0.267 1
Rh1 Rh 0.000 0.253 0.121 1

---

# V2IrRh, optimized geometry, DFT PBE
# crystal system	tetragonal
# formation enthalpy at 0 K	0.14	eV per atom
# total magnetic moment	0.0	μB per formula unit
data_V2IrRh
_chemical_formula_sum 'V8 Ir4 Rh4'
_cell_length_a 6.720
_cell_length_b 6.720
_cell_length_c 5.369
_cell_angle_alpha 90.00
_cell_angle_beta 90.00
_cell_angle_gamma 90.00
_space_group_name_H-M_alt 'I -4 2 d'
_space_group_IT_number 122
_space_group_name_Hall 'I -4 2bw'
loop_
_atom_site_label
_atom_site_type_symbol
_atom_site_fract_x
_atom_site_fract_y
_atom_site_fract_z
_atom_site_occupancy
V1 V 0.249 0.750 0.125 1
Ir1 Ir 0.000 0.000 0.000 1
Rh1 Rh 0.000 0.000 0.500 1

---

# V2Ir9Rh, optimized geometry, DFT PBE
# crystal system	tetragonal
# formation enthalpy at 0 K	-0.31	eV per atom
# total magnetic moment	0.0	μB per formula unit
data_V2Ir9Rh
_chemical_formula_sum 'V2 Ir9 Rh1'
_cell_length_a 3.850
_cell_length_b 3.850
_cell_length_c 11.532
_cell_angle_alpha 90.00
_cell_angle_beta 90.00
_cell_angle_gamma 90.00
_space_group_name_H-M_alt 'P 4/m m m'
_space_group_IT_number 123
_space_group_name_Hall '-P 4 2'
loop_
_atom_site_label
_atom_site_type_symbol
_atom_site_fract_x
_atom_site_fract_y
_atom_site_fract_z
_atom_site_occupancy
V1 V 0.000 0.000 0.168 1
Ir1 Ir 0.000 0.500 0.000 1
Ir2 Ir 0.000 0.500 0.330 1
Ir3 Ir 0.500 0.500 0.166 1
Ir4 Ir 0.500 0.500 0.500 1
Rh1 Rh 0.000 0.000 0.500 1

---

# VIrRhW, optimized geometry, DFT PBE
# crystal system	tetragonal
# formation enthalpy at 0 K	-0.34	eV per atom
# total magnetic moment	0.0	μB per formula unit
data_VIrRhW
_chemical_formula_sum 'V2 Ir2 Rh2 W2'
_cell_length_a 3.893
_cell_length_b 3.893
_cell_length_c 7.640
_cell_angle_alpha 90.00
_cell_angle_beta 90.00
_cell_angle_gamma 90.00
_space_group_name_H-M_alt 'I -4 m 2'
_space_group_IT_number 119
_space_group_name_Hall 'I -4 -2'
loop_
_atom_site_label
_atom_site_type_symbol
_atom_site_fract_x
_atom_site_fract_y
_atom_site_fract_z
_atom_site_occupancy
V1 V 0.000 0.000 0.000 1
Ir1 Ir 0.000 0.500 0.250 1
Rh1 Rh 0.000 0.500 0.750 1
W1 W 0.000 0.000 0.500 1

---

# IrRh2W, optimized geometry, DFT PBE
# crystal system	tetragonal
# formation enthalpy at 0 K	-0.25	eV per atom
# total magnetic moment	0.0	μB per formula unit
data_IrRh2W
_chemical_formula_sum 'Ir1 Rh2 W1'
_cell_length_a 3.866
_cell_length_b 3.866
_cell_length_c 3.908
_cell_angle_alpha 90.00
_cell_angle_beta 90.00
_cell_angle_gamma 90.00
_space_group_name_H-M_alt 'P 4/m m m'
_space_group_IT_number 123
_space_group_name_Hall '-P 4 2'
loop_
_atom_site_label
_atom_site_type_symbol
_atom_site_fract_x
_atom_site_fract_y
_atom_site_fract_z
_atom_site_occupancy
Ir1 Ir 0.000 0.000 0.000 1
Rh1 Rh 0.000 0.500 0.500 1
W1 W 0.500 0.500 0.000 1

---

# IrRh2W, optimized geometry, DFT PBE
# crystal system	trigonal
# formation enthalpy at 0 K	-0.03	eV per atom
# total magnetic moment	0.4	μB per formula unit
data_IrRh2W
_chemical_formula_sum 'Ir3 Rh6 W3'
_cell_length_a 2.7679
_cell_length_b 2.7679
_cell_length_c 26.8052
_cell_angle_alpha 90.00
_cell_angle_beta 90.00
_cell_angle_gamma 120.00
_space_group_name_H-M_alt 'R 3 m'
_space_group_IT_number 160
_space_group_name_Hall 'R 3 -2"'
loop_
_atom_site_label
_atom_site_type_symbol
_atom_site_fract_x
_atom_site_fract_y
_atom_site_fract_z
_atom_site_occupancy
Ir1 Ir 0.0000 0.0000 0.0000 1
Rh1 Rh 0.0000 0.0000 0.2491 1
Rh2 Rh 0.0000 0.0000 0.4981 1
W1 W 0.0000 0.0000 0.7494 1

---

# Ir2RhW, optimized geometry, DFT PBE
# crystal system	orthorhombic
# formation enthalpy at 0 K	-0.18	eV per atom
# total magnetic moment	0.0	μB per formula unit
data_Ir2RhW
_chemical_formula_sum 'Ir4 Rh2 W2'
_cell_length_a 5.493
_cell_length_b 7.779
_cell_length_c 2.765
_cell_angle_alpha 90.00
_cell_angle_beta 90.00
_cell_angle_gamma 90.00
_space_group_name_H-M_alt 'C m m m'
_space_group_IT_number 65
_space_group_name_Hall '-C 2 2'
loop_
_atom_site_label
_atom_site_type_symbol
_atom_site_fract_x
_atom_site_fract_y
_atom_site_fract_z
_atom_site_occupancy
Ir1 Ir 0.250 0.250 0.000 1
Rh1 Rh 0.000 0.000 0.500 1
W1 W 0.000 0.500 0.500 1